(1)
Compound: Zn3Ga2Ag6
Source: the Alexandria database
Functional: GGA-PBE
Structure: optimized geometry

```
data_Zn3Ga2Ag6
_chemical_formula_sum 'Zn3 Ga2 Ag6'
_cell_length_a 4.984
_cell_length_b 5.380
_cell_length_c 7.791
_cell_angle_alpha 90.02
_cell_angle_beta 93.14
_cell_angle_gamma 116.22
_symmetry_space_group_name_H-M 'P -1'
_symmetry_Int_Tables_number 2
loop_
_symmetry_equiv_pos_as_xyz
'x,y,z'
'-x,-y,-z'
loop_
_atom_site_label
_atom_site_type_symbol
_atom_site_fract_x
_atom_site_fract_y
_atom_site_fract_z
Zn1 Zn 0.000 0.000 0.000
Zn2 Zn 0.276 0.716 0.553
Ga1 Ga 0.346 0.895 0.214
Ag1 Ag 0.195 0.189 0.634
Ag2 Ag 0.229 0.360 0.275
Ag3 Ag 0.277 0.590 0.920
```

Values from the calculation:
* E_form: -0.010 eV/atom
* total energy: -2.46 eV/atom

***

(2)
Compound: Zn8GaAg2
Source: the Alexandria database
Functional: GGA-PBE
Structure: optimized geometry

```
data_Zn8GaAg2
_chemical_formula_sum 'Zn16 Ga2 Ag4'
_cell_length_a 6.849
_cell_length_b 12.207
_cell_length_c 4.925
_cell_angle_alpha 90.00
_cell_angle_beta 116.31
_cell_angle_gamma 90.00
_symmetry_space_group_name_H-M 'C 1 2/m 1'
_symmetry_Int_Tables_number 12
loop_
_symmetry_equiv_pos_as_xyz
'x,y,z'
'-x,-y,-z'
'-x,y,-z'
'x,-y,z'
'x+1/2,y+1/2,z'
'-x+1/2,-y+1/2,-z'
'-x+1/2,y+1/2,-z'
'x+1/2,-y+1/2,z'
loop_
_atom_site_label
_atom_site_type_symbol
_atom_site_fract_x
_atom_site_fract_y
_atom_site_fract_z
Zn1 Zn 0.000 0.217 0.000
Zn2 Zn 0.070 0.500 0.784
Zn3 Zn 0.211 0.110 0.693
Ga1 Ga 0.000 0.000 0.000
Ag1 Ag 0.000 0.302 0.500
```

Values from the calculation:
* E_form: 0.053 eV/atom
* E above lowest polymorph: 0.92 kcal/mol of atoms
* total energy: -1.67 eV/atom

***

(3)
Compound: Zn5GaAg4
Source: the Alexandria database
Functional: GGA-PBE
Structure: optimized geometry

```
data_Zn5GaAg4
_chemical_formula_sum 'Zn5 Ga1 Ag4'
_cell_length_a 2.900
_cell_length_b 2.900
_cell_length_c 19.464
_cell_angle_alpha 90.00
_cell_angle_beta 90.00
_cell_angle_gamma 90.00
_symmetry_space_group_name_H-M 'P 4/m m m'
_symmetry_Int_Tables_number 123
_symmetry_space_group_name_Hall '-P 4 2'
loop_
_atom_site_label
_atom_site_type_symbol
_atom_site_fract_x
_atom_site_fract_y
_atom_site_fract_z
Zn1 Zn 0.000 0.000 0.000
Zn2 Zn 0.000 0.000 0.197
Zn3 Zn 0.000 0.000 0.400
Ga1 Ga 0.500 0.500 0.500
Ag1 Ag 0.500 0.500 0.099
Ag2 Ag 0.500 0.500 0.297
```

Values from the calculation:
* E_form: -0.006 eV/atom
* E above lowest polymorph: 0.00 kcal/mol of atoms
* total energy: -2.09 eV/atom

***

(4)
Compound: Zn2GaAg7
Source: the Alexandria database
Functional: GGA-PBE
Structure: optimized geometry

```
data_Zn2GaAg7
_chemical_formula_sum 'Zn4 Ga2 Ag14'
_cell_length_a 7.557
_cell_length_b 12.944
_cell_length_c 4.526
_cell_angle_alpha 90.00
_cell_angle_beta 90.00
_cell_angle_gamma 90.00
_symmetry_space_group_name_H-M 'C m m m'
_symmetry_Int_Tables_number 65
_symmetry_space_group_name_Hall '-C 2 2'
loop_
_atom_site_label
_atom_site_type_symbol
_atom_site_fract_x
_atom_site_fract_y
_atom_site_fract_z
Zn1 Zn 0.000 0.199 0.000
Ga1 Ga 0.000 0.500 0.500
Ag1 Ag 0.000 0.000 0.000
Ag2 Ag 0.000 0.296 0.500
Ag3 Ag 0.185 0.388 0.000
```

Values from the calculation:
* E_form: 0.250 eV/atom
* total energy: -2.30 eV/atom

***

(5)
Compound: Zn2Ga5Ag4
Source: the Alexandria database
Functional: GGA-PBE
Structure: optimized geometry

```
data_Zn2Ga5Ag4
_chemical_formula_sum 'Zn4 Ga10 Ag8'
_cell_length_a 20.082
_cell_length_b 2.973
_cell_length_c 6.557
_cell_angle_alpha 90.00
_cell_angle_beta 102.74
_cell_angle_gamma 90.00
_symmetry_space_group_name_H-M 'C 1 2/m 1'
_symmetry_Int_Tables_number 12
loop_
_symmetry_equiv_pos_as_xyz
'x,y,z'
'-x,-y,-z'
'-x,y,-z'
'x,-y,z'
'x+1/2,y+1/2,z'
'-x+1/2,-y+1/2,-z'
'-x+1/2,y+1/2,-z'
'x+1/2,-y+1/2,z'
loop_
_atom_site_label
_atom_site_type_symbol
_atom_site_fract_x
_atom_site_fract_y
_atom_site_fract_z
Zn1 Zn 0.087 0.000 0.223
Ga1 Ga 0.000 0.000 0.500
Ga2 Ga 0.132 0.500 0.580
Ga3 Ga 0.224 0.500 0.316
Ag1 Ag 0.047 0.500 0.864
Ag2 Ag 0.181 0.000 0.950
```

Values from the calculation:
* E_form: -0.006 eV/atom
* E above lowest polymorph: 0.00 kcal/mol of atoms
* total energy: -2.65 eV/atom

***

(6)
Compound: ZnGaAg3
Source: the Alexandria database
Functional: GGA-PBE
Structure: optimized geometry

```
data_ZnGaAg3
_chemical_formula_sum 'Zn1 Ga1 Ag3'
_cell_length_a 4.893
_cell_length_b 4.893
_cell_length_c 4.893
_cell_angle_alpha 90.00
_cell_angle_beta 90.00
_cell_angle_gamma 90.00
_symmetry_space_group_name_H-M 'P m -3 m'
_symmetry_Int_Tables_number 221
_symmetry_space_group_name_Hall '-P 4 2 3'
loop_
_atom_site_label
_atom_site_type_symbol
_atom_site_fract_x
_atom_site_fract_y
_atom_site_fract_z
Zn1 Zn 0.000 0.000 0.000
Ga1 Ga 0.500 0.500 0.500
Ag1 Ag 0.000 0.000 0.500
```

Values from the calculation:
* E_form: 0.475 eV/atom
* E above lowest polymorph: 9.81 kcal/mol of atoms
* total energy: -2.10 eV/atom

***

(7)
Compound: Zn3GaAg2
Source: the Alexandria database
Functional: GGA-PBE
Structure: optimized geometry

```
data_Zn3GaAg2
_chemical_formula_sum 'Zn6 Ga2 Ag4'
_cell_length_a 5.315
_cell_length_b 5.356
_cell_length_c 7.687
_cell_angle_alpha 96.84
_cell_angle_beta 95.61
_cell_angle_gamma 115.02
_symmetry_space_group_name_H-M 'P -1'
_symmetry_Int_Tables_number 2
loop_
_symmetry_equiv_pos_as_xyz
'x,y,z'
'-x,-y,-z'
loop_
_atom_site_label
_atom_site_type_symbol
_atom_site_fract_x
_atom_site_fract_y
_atom_site_fract_z
Zn1 Zn 0.012 0.268 0.058
Zn2 Zn 0.148 0.906 0.614
Zn3 Zn 0.184 0.431 0.725
Ga1 Ga 0.315 0.069 0.278
Ag1 Ag 0.335 0.597 0.392
Ag2 Ag 0.479 0.232 0.941
```

Values from the calculation:
* E_form: -0.014 eV/atom
* E above lowest polymorph: 0.00 kcal/mol of atoms
* total energy: -2.11 eV/atom

***

(8)
Compound: Zn7GaAg4
Source: the Alexandria database
Functional: GGA-PBE
Structure: optimized geometry

```
data_Zn7GaAg4
_chemical_formula_sum 'Zn7 Ga1 Ag4'
_cell_length_a 2.8983
_cell_length_b 2.8983
_cell_length_c 26.7562
_cell_angle_alpha 90.00
_cell_angle_beta 90.00
_cell_angle_gamma 120.00
_symmetry_space_group_name_H-M 'P -3 m 1'
_symmetry_Int_Tables_number 164
_symmetry_space_group_name_Hall '-P 3 2"'
loop_
_atom_site_label
_atom_site_type_symbol
_atom_site_fract_x
_atom_site_fract_y
_atom_site_fract_z
Zn1 Zn 0.0000 0.0000 0.0000
Zn2 Zn 0.0000 0.0000 0.2500
Zn3 Zn 0.3333 0.6667 0.1683
Zn4 Zn 0.3333 0.6667 0.4178
Ga1 Ga 0.0000 0.0000 0.5000
Ag1 Ag 0.3333 0.6667 0.6655
Ag2 Ag 0.3333 0.6667 0.9161
```

Values from the calculation:
* E_form: -0.004 eV/atom
* E above lowest polymorph: 0.00 kcal/mol of atoms
* total energy: -1.95 eV/atom

***

(9)
Compound: Zn5Ga2Ag
Source: the Alexandria database
Functional: GGA-PBE
Structure: optimized geometry

```
data_Zn5Ga2Ag
_chemical_formula_sum 'Zn10 Ga4 Ag2'
_cell_length_a 7.064
_cell_length_b 7.064
_cell_length_c 5.365
_cell_angle_alpha 90.00
_cell_angle_beta 90.00
_cell_angle_gamma 90.00
_symmetry_space_group_name_H-M 'I 4/m m m'
_symmetry_Int_Tables_number 139
_symmetry_space_group_name_Hall '-I 4 2'
loop_
_atom_site_label
_atom_site_type_symbol
_atom_site_fract_x
_atom_site_fract_y
_atom_site_fract_z
Zn1 Zn 0.000 0.000 0.000
Zn2 Zn 0.250 0.250 0.250
Ga1 Ga 0.000 0.500 0.000
Ag1 Ag 0.000 0.000 0.500
```

Values from the calculation:
* E_form: 0.038 eV/atom
* total energy: -1.87 eV/atom

***

(10)
Compound: ZnGa2Ag2
Source: the Alexandria database
Functional: GGA-PBE
Structure: optimized geometry

```
data_ZnGa2Ag2
_chemical_formula_sum 'Zn2 Ga4 Ag4'
_cell_length_a 6.701
_cell_length_b 6.701
_cell_length_c 4.065
_cell_angle_alpha 90.00
_cell_angle_beta 90.00
_cell_angle_gamma 90.00
_symmetry_space_group_name_H-M 'P 4/m b m'
_symmetry_Int_Tables_number 127
_symmetry_space_group_name_Hall '-P 4 2ab'
loop_
_atom_site_label
_atom_site_type_symbol
_atom_site_fract_x
_atom_site_fract_y
_atom_site_fract_z
Zn1 Zn 0.000 0.000 0.000
Ga1 Ga 0.141 0.359 0.000
Ag1 Ag 0.160 0.660 0.500
```

Values from the calculation:
* E_form: 0.112 eV/atom
* E above lowest polymorph: 1.65 kcal/mol of atoms
* total energy: -2.49 eV/atom

***

(11)
Compound: Zn3Ga6Ag
Source: the Alexandria database
Functional: GGA-PBE
Structure: optimized geometry

```
data_Zn3Ga6Ag
_chemical_formula_sum 'Zn12 Ga24 Ag4'
_cell_length_a 8.881
_cell_length_b 15.497
_cell_length_c 5.308
_cell_angle_alpha 90.00
_cell_angle_beta 90.00
_cell_angle_gamma 90.00
_symmetry_space_group_name_H-M 'C m c 21'
_symmetry_Int_Tables_number 36
loop_
_symmetry_equiv_pos_as_xyz
'x,y,z'
'-x,-y,z+1/2'
'-x,y,z'
'x,-y,z+1/2'
'x+1/2,y+1/2,z'
'-x+1/2,-y+1/2,z+1/2'
'-x+1/2,y+1/2,z'
'x+1/2,-y+1/2,z+1/2'
loop_
_atom_site_label
_atom_site_type_symbol
_atom_site_fract_x
_atom_site_fract_y
_atom_site_fract_z
Zn1 Zn 0.000 0.111 0.000
Zn2 Zn 0.155 0.372 0.995
Ga1 Ga 0.000 0.160 0.477
Ga2 Ga 0.000 0.495 0.263
Ga3 Ga 0.180 0.001 0.742
Ga4 Ga 0.219 0.212 0.882
Ag1 Ag 0.000 0.338 0.538
```

Values from the calculation:
* E_form: 0.057 eV/atom
* total energy: -2.43 eV/atom

***

(12)
Compound: ZnGaAg
Source: the Alexandria database
Functional: GGA-PBE
Structure: optimized geometry

```
data_ZnGaAg
_chemical_formula_sum 'Zn1 Ga1 Ag1'
_cell_length_a 2.9796
_cell_length_b 2.9796
_cell_length_c 6.6108
_cell_angle_alpha 90.00
_cell_angle_beta 90.00
_cell_angle_gamma 120.00
_symmetry_space_group_name_H-M 'P 3 m 1'
_symmetry_Int_Tables_number 156
loop_
_symmetry_equiv_pos_as_xyz
'x,y,z'
'-y,x-y,z'
'-x+y,-x,z'
'-y,-x,z'
'-x+y,y,z'
'x,x-y,z'
loop_
_atom_site_label
_atom_site_type_symbol
_atom_site_fract_x
_atom_site_fract_y
_atom_site_fract_z
Zn1 Zn 0.0000 0.0000 0.0000
Ga1 Ga 0.3333 0.6667 0.6701
Ag1 Ag 0.6667 0.3333 0.3282
```

Values from the calculation:
* E_form: -0.020 eV/atom
* E above lowest polymorph: 0.00 kcal/mol of atoms
* total energy: -2.40 eV/atom